(1)
Ir3SeN: optimized geometry, GGA-PBE.

Output
The space group is No. 221. The calculation puts the electronic total energy at -5.196 eV/atom. The relative energy among the computed polymorphs is 1490 meV/atom. The density of states at the Fermi level comes out at 0.94 states/eV per atom. Its formation energy without anion corrections is 57.25 kcal/mol of atoms.

Cell: 4.596 4.596 4.596 Å, 90.00 90.00 90.00°
Atoms (fractional coordinates):
Ir 0.000 0.000 0.500
Ir 0.000 0.500 0.000
Ir 0.500 0.000 0.000
Se 0.000 0.000 0.000
N 0.500 0.500 0.500



(2)
AsPC: optimized geometry, GGA-PBE.

Output
The space group is No. 44. The calculation puts the electronic total energy at -5.921 eV/atom. The formation energy from the elements is 0.507 eV per atom. The relative energy among the computed polymorphs is 127 meV/atom. The density of states at the Fermi level comes out at 0.42 states/eV per atom.

Cell: 4.833 4.833 4.833 Å, 145.58 118.29 72.61°
Atoms (fractional coordinates):
As 0.000 0.000 0.000
P 0.625 0.125 0.500
C 0.754 0.754 0.000



(3)
LaTh4Te5: optimized geometry, GGA-PBE.

Output
The space group is No. 123. The calculation puts the electronic total energy at -6.196 eV/atom. The density of states at the Fermi level comes out at 0.80 states/eV per atom. Its formation energy without anion corrections is -26.86 kcal/mol of atoms.

Cell: 3.865 3.865 19.360 Å, 90.00 90.00 90.00°
Atoms (fractional coordinates):
La 0.000 0.000 0.000
Th 0.000 0.000 0.202
Th 0.000 0.000 0.400
Th 0.000 0.000 0.600
Th 0.000 0.000 0.798
Te 0.500 0.500 0.104
Te 0.500 0.500 0.301
Te 0.500 0.500 0.500
Te 0.500 0.500 0.699
Te 0.500 0.500 0.896



(4)
PrSm8Y2: optimized geometry, GGA-PBE.

Output
The space group is No. 71. The calculation puts the electronic total energy at -4.930 eV/atom. The formation energy from the elements is 0.112 eV per atom. The relative energy among the computed polymorphs is 0 meV/atom. The density of states at the Fermi level comes out at 1.47 states/eV per atom.

Cell: 9.479 9.479 9.479 Å, 145.15 128.43 63.75°
Atoms (fractional coordinates):
Pr 0.000 0.000 0.000
Sm 0.159 0.863 0.295
Sm 0.165 0.665 0.500
Sm 0.294 0.500 0.794
Sm 0.432 0.137 0.295
Sm 0.568 0.863 0.705
Sm 0.706 0.500 0.206
Sm 0.835 0.335 0.500
Sm 0.841 0.137 0.705
Y 0.300 0.300 0.000
Y 0.700 0.700 0.000